Compound: PaVNi2O8
Source: Alexandria
Functional: PBE+U
Structure: relaxed

Its space-group type is P-3m1 (164). The density of states at the Fermi level comes out at 0.3 states/eV per cell. For the spin magnetization, the calculation gives 0.50 μB per atom. The total energy comes out at -6.5180 eV/atom.

Geometry as extended XYZ:
```
12
Lattice="5.775 0.000 0.000 -2.887 5.001 0.000 0.000 0.000 5.724" Properties=species:S:1:pos:R:3 pbc="T T T"
Pa 0.000 0.000 0.000
V 0.000 0.000 2.862
Ni 0.000 3.334 3.393
Ni 2.887 1.667 2.332
O 0.000 1.480 4.093
O -1.605 4.261 4.093
O 1.282 0.740 1.631
O 0.000 3.334 1.715
O 2.887 1.667 4.009
O 1.605 4.261 4.093
O 4.493 0.740 1.631
O 2.887 3.521 1.631
```